[1]
Below is a relaxed SmEuAgBi crystal, with properties calculated at the GGA-PBE level.

- Crystal system: cubic
- N(E_F): 2.8 states/eV per cell
- Total magnetization: 7.982 μB/cell
- Formation energy: -0.518 eV/atom
- Energy: -5.95 eV/atom

abc: 5.466 5.466 5.466
angles: 60.00 60.00 60.00
Fractional coordinates of all 4 atoms:
Sm1 0.000 0.000 0.000
Eu1 0.500 0.500 0.500
Ag1 0.250 0.250 0.250
Bi1 0.750 0.750 0.750

[2]
Below is a relaxed SrH2N crystal, with properties calculated at the GGA-PBE level.

- Crystal system: cubic
- N(E_F): 1.6 states/eV per cell
- Total magnetization: 0.000 μB/cell
- Polymorph energy (0 for the lowest one): 4.173 eV/f.u.
- Energy: -3.60 eV/atom

abc: 3.908 3.908 3.908
angles: 60.00 60.00 60.00
Fractional coordinates of all 4 atoms:
Sr1 0.000 0.000 0.000
H1 0.250 0.250 0.250
H2 0.750 0.750 0.750
N1 0.500 0.500 0.500

[3]
Below is a relaxed RbMgPb2 crystal, with properties calculated at the GGA-PBE level.

- Crystal system: tetragonal
- N(E_F): 0.8 states/eV per cell
- Total magnetization: 0.000 μB/cell
- Formation energy: -0.126 eV/atom
- Energy: -2.62 eV/atom

abc: 3.891 3.891 8.723
angles: 90.00 90.00 90.00
Fractional coordinates of all 4 atoms:
Rb1 0.000 0.000 0.000
Mg1 0.000 0.000 0.500
Pb1 0.500 0.500 0.312
Pb2 0.500 0.500 0.688

[4]
Below is a relaxed TbY2Tm3Bi6 crystal, with properties calculated at the GGA-PBE level.

- Crystal system: monoclinic
- N(E_F): 2.0 states/eV per cell
- Total magnetization: 0.000 μB/cell
- Formation energy: -0.837 eV/atom
- Energy: -5.36 eV/atom

abc: 9.969 9.969 8.919
angles: 102.85 102.85 25.84
Fractional coordinates of all 12 atoms:
Tb1 0.000 0.000 0.000
Y1 0.333 0.333 0.667
Y2 0.667 0.667 0.333
Tm1 0.000 0.000 0.500
Tm2 0.333 0.333 0.167
Tm3 0.667 0.667 0.833
Bi1 0.166 0.166 0.585
Bi2 0.168 0.168 0.081
Bi3 0.499 0.499 0.253
Bi4 0.501 0.501 0.747
Bi5 0.832 0.832 0.919
Bi6 0.834 0.834 0.415

[5]
Below is a relaxed Y3HoAl crystal, with properties calculated at the GGA-PBE level.

- Crystal system: orthorhombic
- N(E_F): 13.8 states/eV per cell
- Total magnetization: 0.000 μB/cell
- Polymorph energy (0 for the lowest one): 0.443 eV/f.u.
- Formation energy: -0.058 eV/atom
- Energy: -5.60 eV/atom

abc: 3.627 10.405 7.975
angles: 90.00 90.00 90.00
Fractional coordinates of all 10 atoms:
Y1 0.250 0.004 0.240
Y2 0.250 0.250 0.549
Y3 0.250 0.496 0.240
Y4 0.750 0.504 0.760
Y5 0.750 0.750 0.451
Y6 0.750 0.996 0.760
Ho1 0.250 0.250 0.946
Ho2 0.750 0.750 0.054
Al1 0.250 0.750 0.753
Al2 0.750 0.250 0.247

[6]
Below is a relaxed YMg2InO crystal, with properties calculated at the GGA-PBE level.

- Crystal system: tetragonal
- Formation energy (no corrections): -1177 meV/atom
- N(E_F): 1.1 states/eV per cell
- Total magnetization: 0.000 μB/cell
- Polymorph energy (0 for the lowest one): 0.000 eV/f.u.
- Energy: -4.65 eV/atom

abc: 4.505 4.505 4.697
angles: 90.00 90.00 90.00
Fractional coordinates of all 5 atoms:
Y1 0.000 0.000 0.000
Mg1 0.000 0.500 0.500
Mg2 0.500 0.000 0.500
In1 0.500 0.500 0.000
O1 0.000 0.000 0.500

[7]
Below is a relaxed PrBePt3 crystal, with properties calculated at the GGA-PBE level.

- Crystal system: hexagonal
- N(E_F): 4.3 states/eV per cell
- Total magnetization: 0.000 μB/cell
- Polymorph energy (0 for the lowest one): 0.106 eV/f.u.
- Formation energy: -0.878 eV/atom
- Energy: -6.20 eV/atom

abc: 5.945 5.945 5.715
angles: 90.00 90.00 120.00
Fractional coordinates of all 10 atoms:
Pr1 0.333 0.667 0.250
Pr2 0.667 0.333 0.750
Be1 0.000 0.000 0.000
Be2 0.000 0.000 0.500
Pt1 0.176 0.351 0.750
Pt2 0.176 0.824 0.750
Pt3 0.351 0.176 0.250
Pt4 0.649 0.824 0.750
Pt5 0.824 0.176 0.250
Pt6 0.824 0.649 0.250

[8]
Below is a relaxed CaH3Ir crystal, with properties calculated at the GGA-PBE level.

- Crystal system: hexagonal
- N(E_F): 0.0 states/eV per cell
- Total magnetization: 0.000 μB/cell
- Energy: -4.46 eV/atom

abc: 3.537 3.537 9.671
angles: 90.00 90.00 120.00
Fractional coordinates of all 10 atoms:
Ca1 0.000 0.000 0.000
Ca2 0.000 0.000 0.500
H1 0.000 0.000 0.250
H2 0.000 0.000 0.750
H3 0.333 0.667 0.078
H4 0.333 0.667 0.422
H5 0.667 0.333 0.578
H6 0.667 0.333 0.922
Ir1 0.333 0.667 0.250
Ir2 0.667 0.333 0.750